First-principles (PBE) data for an optimized crystal structure of MgZn2Cu, as listed in Alexandria via LeMat-Bulk.

abc: 4.1774 3.4384 4.2380
angles: 90.00 93.96 90.00
Positions (direct):
1 Mg 0.0000 0.0000 0.0000
2 Zn 0.0000 0.5000 0.5000
3 Zn 0.5000 0.0000 0.5000
4 Cu 0.5000 0.5000 0.0000

## Properties
- final energy (eV/atom) = -2.111
- energy relative to the elements (eV/atom) = -0.051

First-principles (PBE) data for an optimized crystal structure of MgZn8Cu4, as listed in Alexandria via LeMat-Bulk.

abc: 6.6312 6.6312 6.6312
angles: 98.12 98.12 135.86
Positions (direct):
1 Mg 0.0000 0.0000 0.0000
2 Zn 0.0000 0.3432 0.3432
3 Zn 0.0000 0.6568 0.6568
4 Zn 0.2845 0.5000 0.7845
5 Zn 0.3432 0.0000 0.3432
6 Zn 0.5000 0.2845 0.7845
7 Zn 0.5000 0.7155 0.2155
8 Zn 0.6568 0.0000 0.6568
9 Zn 0.7155 0.5000 0.2155
10 Cu 0.0000 0.0000 0.5000
11 Cu 0.0000 0.5000 0.0000
12 Cu 0.5000 0.0000 0.0000
13 Cu 0.5000 0.5000 0.5000

## Properties
- final energy (eV/atom) = -2.270
- excess energy over the best structure of this formula in the dataset (eV per atom) = 0.000
- energy relative to the elements (eV/atom) = -0.103

First-principles (PBE) data for an optimized crystal structure of Mg2Zn7Cu, as listed in Alexandria via LeMat-Bulk.

abc: 6.5889 6.5889 6.5889
angles: 60.00 60.00 60.00
Positions (direct):
1 Mg 0.2500 0.2500 0.2500
2 Mg 0.7500 0.7500 0.7500
3 Zn 0.0000 0.0000 0.0000
4 Zn 0.2536 0.2536 0.7464
5 Zn 0.2536 0.7464 0.2536
6 Zn 0.2536 0.7464 0.7464
7 Zn 0.7464 0.2536 0.2536
8 Zn 0.7464 0.2536 0.7464
9 Zn 0.7464 0.7464 0.2536
10 Cu 0.5000 0.5000 0.5000

## Properties
- final energy (eV/atom) = -1.365
- energy relative to the elements (eV/atom) = 0.255

First-principles (PBE) data for an optimized crystal structure of MgZn2Cu, as listed in Alexandria via LeMat-Bulk.

abc: 3.7140 3.7140 9.5842
angles: 90.00 90.00 90.00
Positions (direct):
1 Mg 0.2500 0.2500 0.2375
2 Mg 0.7500 0.7500 0.7625
3 Zn 0.2500 0.2500 0.9380
4 Zn 0.2500 0.7500 0.5000
5 Zn 0.7500 0.2500 0.5000
6 Zn 0.7500 0.7500 0.0620
7 Cu 0.2500 0.2500 0.6809
8 Cu 0.7500 0.7500 0.3191

## Properties
- final energy (eV/atom) = -2.099
- energy relative to the elements (eV/atom) = -0.039